(1)
This record from Alexandria describes an optimized crystal structure of Sr3Cd3In. The functional is PBE.

a b c (Å): 6.5821 6.5821 16.6803
angles (deg): 107.78 107.78 43.89
With the nearest neighbours (Å) after each atom.
Positions (direct):
Sr: 0.0360 0.0360 0.3877  7 Cd 3.46-3.86, 4 In 3.51-3.74
Sr: 0.1059 0.1059 0.9213  7 Cd 3.51-3.59
Sr: 0.2501 0.2501 0.2328  6 Cd 3.52-3.58, 2 In 3.67
Sr: 0.7499 0.7499 0.7672  6 Cd 3.52-3.58, 2 In 3.67
Sr: 0.8941 0.8941 0.0787  7 Cd 3.51-3.59
Sr: 0.9640 0.9640 0.6123  7 Cd 3.46-3.86, 4 In 3.51-3.74
Cd: 0.3701 0.3701 0.4590  3 In 2.91-3.19, 1 Cd 3.01
Cd: 0.3939 0.3939 0.9219  2 Cd 2.97-3.01
Cd: 0.4613 0.4613 0.7663  1 Cd 2.97, 1 In 3.01
Cd: 0.5387 0.5387 0.2337  1 Cd 2.97, 1 In 3.01
Cd: 0.6061 0.6061 0.0781  2 Cd 2.97-3.01
Cd: 0.6299 0.6299 0.5410  3 In 2.91-3.19, 1 Cd 3.01
In: 0.2557 0.2557 0.6056  4 Cd 2.91-3.19
In: 0.7443 0.7443 0.3944  4 Cd 2.91-3.19

Values from the calculation:
Electronic total energy   -1.8449 eV/atom
ΔH_f (0 K)   -0.341 eV per atom
Total magnetic moment   0.000 μB/cell
ρ   5.0 g/cm3
N(E_F)   11.3 states/eV per cell



(2)
This record from Alexandria describes an optimized crystal structure of SrCdAgSn2. The functional is PBE.

a b c (Å): 6.9843 6.9843 6.9843
angles (deg): 140.40 140.40 57.24
With the nearest neighbours (Å) after each atom.
Positions (direct):
Sr: 0.0000 0.0000 0.0000  8 Sn 3.64, 4 Cd 3.87, 4 Ag 3.87
Cd: 0.2500 0.7500 0.5000  4 Sn 2.88
Ag: 0.7500 0.2500 0.5000  4 Sn 2.88
Sn: 0.3839 0.3839 0.0000  1 Sn 2.85, 2 Cd 2.88, 2 Ag 2.88
Sn: 0.6161 0.6161 0.0000  1 Sn 2.85, 2 Cd 2.88, 2 Ag 2.88

Values from the calculation:
Electronic total energy   -3.0413 eV/atom
ΔH_f (0 K)   -0.351 eV per atom
Total magnetic moment   0.000 μB/cell
ρ   6.6 g/cm3
N(E_F)   1.2 states/eV per cell



(3)
This record from Alexandria describes an optimized crystal structure of Ba2AgSb3Pt4. The functional is PBE.

a b c (Å): 4.7739 4.7739 10.6671
angles (deg): 90.00 90.00 90.00
With the nearest neighbours (Å) after each atom.
Positions (direct):
Ba: 0.0000 0.5000 0.2473  2 Ag 3.56, 6 Sb 3.56-3.65, 8 Pt 3.60-3.61
Ba: 0.5000 0.0000 0.7527  2 Ag 3.56, 6 Sb 3.56-3.65, 8 Pt 3.60-3.61
Ag: 0.5000 0.5000 0.0000  4 Pt 2.75
Sb: 0.0000 0.0000 0.0000  4 Pt 2.75
Sb: 0.0000 0.5000 0.6237  5 Pt 2.66-2.73
Sb: 0.5000 0.0000 0.3763  5 Pt 2.66-2.73
Pt: 0.0000 0.0000 0.5000  4 Sb 2.73
Pt: 0.0000 0.5000 0.8727  3 Sb 2.66-2.75, 2 Ag 2.75
Pt: 0.5000 0.0000 0.1273  3 Sb 2.66-2.75, 2 Ag 2.75
Pt: 0.5000 0.5000 0.5000  4 Sb 2.73

Values from the calculation:
Electronic total energy   -5.0436 eV/atom
Total magnetic moment   0.000 μB/cell
Raw formation energy   -0.72 eV/atom
ρ   10.4 g/cm3
N(E_F)   5.1 states/eV per cell



(4)
This record from Alexandria describes an optimized crystal structure of La2TbSn3Pd4. The functional is PBE.

a b c (Å): 4.6382 4.6382 11.1205
angles (deg): 90.00 90.00 90.00
With the nearest neighbours (Å) after each atom.
Positions (direct):
La: 0.0000 0.5000 0.2250  8 Pd 3.41-3.60, 4 Sn 3.47
La: 0.5000 0.0000 0.7750  8 Pd 3.41-3.60, 4 Sn 3.47
Tb: 0.0000 0.0000 0.5000  4 Pd 2.81
Sn: 0.0000 0.5000 0.8772  5 Pd 2.61-2.69
Sn: 0.5000 0.0000 0.1228  5 Pd 2.61-2.69
Sn: 0.5000 0.5000 0.5000  4 Pd 2.81
Pd: 0.0000 0.0000 0.0000  4 Sn 2.69
Pd: 0.0000 0.5000 0.6425  3 Sn 2.61-2.81, 2 Tb 2.81
Pd: 0.5000 0.0000 0.3575  3 Sn 2.61-2.81, 2 Tb 2.81
Pd: 0.5000 0.5000 0.0000  4 Sn 2.69

Values from the calculation:
Electronic total energy   -5.5711 eV/atom
ΔH_f (0 K)   -0.845 eV per atom
Total magnetic moment   0.000 μB/cell
ρ   8.5 g/cm3
N(E_F)   7.2 states/eV per cell



(5)
This record from Alexandria describes an optimized crystal structure of BeAg2SnCl. The functional is PBE.

a b c (Å): 4.8826 4.8826 5.7085
angles (deg): 90.00 90.00 90.00
With the nearest neighbours (Å) after each atom.
Positions (direct):
Be: 0.0000 0.0000 0.0000  4 Sn 3.45, 8 Ag 3.76
Ag: 0.0000 0.5000 0.5000  2 Cl 2.44
Ag: 0.5000 0.0000 0.5000  2 Cl 2.44
Sn: 0.5000 0.5000 0.0000  2 Cl 2.85
Cl: 0.5000 0.5000 0.5000  4 Ag 2.44

Values from the calculation:
Electronic total energy   -2.1234 eV/atom
Total magnetic moment   0.000 μB/cell
Raw formation energy   0.93 eV/atom
ρ   4.6 g/cm3
N(E_F)   1.7 states/eV per cell



(6)
This record from Alexandria describes an optimized crystal structure of Be2Se. The functional is PBE.

a b c (Å): 7.9174 7.9174 7.9174
angles (deg): 156.42 156.42 33.59
With the nearest neighbours (Å) after each atom.
Positions (direct):
Be: 0.3032 0.5532 0.7500  3 Be 2.18-2.28
Be: 0.4468 0.6968 0.7500  3 Be 2.18-2.28
Be: 0.5532 0.3032 0.2500  3 Be 2.18-2.28
Be: 0.6968 0.4468 0.2500  3 Be 2.18-2.28
Se: 0.1250 0.8750 0.2500  8 Be 2.53
Se: 0.8750 0.1250 0.7500  8 Be 2.53

Values from the calculation:
Electronic total energy   -3.1427 eV/atom
Total magnetic moment   0.000 μB/cell
Raw formation energy   0.50 eV/atom
ρ   4.1 g/cm3
N(E_F)   2.5 states/eV per cell



(7)
This record from Alexandria describes an optimized crystal structure of PmErC. The functional is PBE.

a b c (Å): 6.2543 3.5827 6.3845
angles (deg): 90.00 91.65 90.00
With the nearest neighbours (Å) after each atom.
Positions (direct):
Pm: 0.0912 0.2500 0.2216  3 C 2.54-2.56
Pm: 0.9088 0.7500 0.7784  3 C 2.54-2.56
Er: 0.4121 0.2500 0.7925  3 C 2.43
Er: 0.5879 0.7500 0.2075  3 C 2.43
C: 0.2580 0.7500 0.9968  3 Er 2.43, 3 Pm 2.54-2.56
C: 0.7420 0.2500 0.0032  3 Er 2.43, 3 Pm 2.54-2.56

Values from the calculation:
Electronic total energy   -6.3849 eV/atom
ΔH_f (0 K)   -0.206 eV per atom
Total magnetic moment   0.001 μB/cell
ρ   7.5 g/cm3
N(E_F)   4.2 states/eV per cell



(8)
This record from Alexandria describes an optimized crystal structure of MgFeBr2. The functional is PBE.

a b c (Å): 6.9552 6.9552 6.9552
angles (deg): 147.88 147.88 46.06
With the nearest neighbours (Å) after each atom.
Positions (direct):
Mg: 0.0000 0.0000 0.0000  4 Br 2.72
Fe: 0.7500 0.2500 0.5000  4 Br 2.72
Br: 0.2500 0.7500 0.5000  4 Fe 2.72
Br: 0.5000 0.5000 0.0000  4 Mg 2.72

Values from the calculation:
Electronic total energy   -3.2504 eV/atom
Total magnetic moment   2.887 μB/cell
Raw formation energy   0.10 eV/atom
ρ   4.2 g/cm3
N(E_F)   4.5 states/eV per cell



(9)
This record from Alexandria describes an optimized crystal structure of CuH2SBr2. The functional is PBE.

a b c (Å): 7.6850 7.6850 8.4613
angles (deg): 90.00 90.00 36.05
With the nearest neighbours (Å) after each atom.
Positions (direct):
Cu: 0.1982 0.8018 0.5000  2 Br 2.31, 2 S 2.38-2.39
Cu: 0.8018 0.1982 0.0000  2 Br 2.31, 2 S 2.38-2.39
H: 0.2196 0.6437 0.1710  1 S 1.38
H: 0.3563 0.7804 0.1710  1 S 1.38
H: 0.6437 0.2196 0.6710  1 S 1.38
H: 0.7804 0.3563 0.6710  1 S 1.38
S: 0.1089 0.8911 0.2231  2 H 1.38
S: 0.8911 0.1089 0.7231  2 H 1.38
Br: 0.1915 0.5080 0.5261  1 Cu 2.31, 1 H 2.46
Br: 0.4920 0.8085 0.5261  1 Cu 2.31, 1 H 2.46
Br: 0.5080 0.1915 0.0261  1 Cu 2.31, 1 H 2.46
Br: 0.8085 0.4920 0.0261  1 Cu 2.31, 1 H 2.46

Values from the calculation:
Electronic total energy   -3.2413 eV/atom
Total magnetic moment   0.000 μB/cell
ρ   2.9 g/cm3
N(E_F)   3.5 states/eV per cell



(10)
This record from Alexandria describes an optimized crystal structure of CeY3Ho3. The functional is PBE.

a b c (Å): 14.6229 14.6229 14.6229
angles (deg): 24.35 24.35 24.35
With the nearest neighbours (Å) after each atom.
Positions (direct):
Ce: 0.1667 0.1667 0.1667  6 Y 3.51, 3 Ce 3.56
Ce: 0.8333 0.8333 0.8333  6 Y 3.51, 3 Ce 3.56
Y: 0.0998 0.4331 0.7666  3 Ho 3.50, 2 Ce 3.51, 6 Y 3.56
Y: 0.2334 0.9002 0.5669  3 Ho 3.50, 2 Ce 3.51, 6 Y 3.56
Y: 0.4331 0.7666 0.0998  3 Ho 3.50, 2 Ce 3.51, 6 Y 3.56
Y: 0.5669 0.2334 0.9002  3 Ho 3.50, 2 Ce 3.51, 6 Y 3.56
Y: 0.7666 0.0998 0.4331  3 Ho 3.50, 2 Ce 3.51, 6 Y 3.56
Y: 0.9002 0.5669 0.2334  3 Ho 3.50, 2 Ce 3.51, 6 Y 3.56
Ho: 0.0343 0.6990 0.3665  9 Ho 3.49-3.57, 3 Y 3.50
Ho: 0.3010 0.6335 0.9657  9 Ho 3.49-3.57, 3 Y 3.50
Ho: 0.3665 0.0343 0.6990  9 Ho 3.49-3.57, 3 Y 3.50
Ho: 0.6335 0.9657 0.3010  9 Ho 3.49-3.57, 3 Y 3.50
Ho: 0.6990 0.3665 0.0343  9 Ho 3.49-3.57, 3 Y 3.50
Ho: 0.9657 0.3010 0.6335  9 Ho 3.49-3.57, 3 Y 3.50

Values from the calculation:
Electronic total energy   -5.3998 eV/atom
ΔH_f (0 K)   0.180 eV per atom
Total magnetic moment   2.604 μB/cell
ρ   6.4 g/cm3
N(E_F)   28.9 states/eV per cell



(11)
This record from Alexandria describes an optimized crystal structure of Nd2Th4Sn3H2. The functional is PBE.

a b c (Å): 13.7382 13.7382 13.7382
angles (deg): 160.10 160.10 28.29
With the nearest neighbours (Å) after each atom.
Positions (direct):
Nd: 0.2034 0.2034 0.0000  5 Sn 3.25-3.44, 1 H 3.57
Nd: 0.7966 0.7966 0.0000  5 Sn 3.25-3.44, 1 H 3.57
Th: 0.0830 0.5830 0.5000  2 H 2.40
Th: 0.4170 0.9170 0.5000  2 H 2.40
Th: 0.5830 0.0830 0.5000  2 H 2.40
Th: 0.9170 0.4170 0.5000  2 H 2.40
Sn: 0.3252 0.3252 0.0000  5 Nd 3.25-3.44, 4 Th 3.41
Sn: 0.5000 0.5000 0.0000  8 Th 3.24
Sn: 0.6748 0.6748 0.0000  5 Nd 3.25-3.44, 4 Th 3.41
H: 0.0695 0.0695 0.0000  4 Th 2.40
H: 0.9305 0.9305 0.0000  4 Th 2.40

Values from the calculation:
Electronic total energy   -5.6668 eV/atom
Total magnetic moment   0.149 μB/cell
ρ   8.7 g/cm3
N(E_F)   11.2 states/eV per cell



(12)
This record from Alexandria describes an optimized crystal structure of TbCdPb. The functional is PBE.

a b c (Å): 8.3003 8.3003 4.3871
angles (deg): 90.00 90.00 147.35
With the nearest neighbours (Å) after each atom.
Positions (direct):
Tb: 0.0935 0.9065 0.7500  4 Pb 3.21, 4 Cd 3.34-3.40
Tb: 0.9065 0.0935 0.2500  4 Pb 3.21, 4 Cd 3.34-3.40
Cd: 0.2567 0.7433 0.2500  4 Cd 3.21, 4 Tb 3.34-3.40, 2 Pb 3.41
Cd: 0.7433 0.2567 0.7500  4 Cd 3.21, 4 Tb 3.34-3.40, 2 Pb 3.41
Pb: 0.4208 0.5792 0.7500  4 Tb 3.21, 2 Pb 3.34, 2 Cd 3.41
Pb: 0.5792 0.4208 0.2500  4 Tb 3.21, 2 Pb 3.34, 2 Cd 3.41

Values from the calculation:
Electronic total energy   -3.4041 eV/atom
ΔH_f (0 K)   -0.320 eV per atom
Total magnetic moment   0.000 μB/cell
ρ   9.7 g/cm3
N(E_F)   4.2 states/eV per cell